The following is a PBE+U calculation of an optimized crystal structure of NaNbWO7, from the Alexandria database.

Cell and atoms, written as CIF:
```
data_NaNbWO7
_chemical_formula_sum 'Na4 Nb4 W4 O28'
_symmetry_space_group_name_H-M 'I m m a'
_symmetry_Int_Tables_number 74
_symmetry_space_group_name_Hall '-I 2b 2'
_cell_length_a 7.484
_cell_length_b 7.487
_cell_length_c 10.452
_cell_angle_alpha 90.00
_cell_angle_beta 90.00
_cell_angle_gamma 90.00
loop_
_atom_site_label
_atom_site_fract_x
_atom_site_fract_y
_atom_site_fract_z
_atom_site_occupancy
Na1 0.250 0.250 0.250 1
Nb1 0.000 0.000 0.000 1
W1 0.250 0.250 0.750 1
O1 0.000 0.250 0.070 1
O2 0.000 0.250 0.393 1
O3 0.000 0.250 0.692 1
O4 0.187 0.067 0.871 1
```

- size of the total moment (μB/f.u.) = 2.03
- final energy (eV per atom) = -7.059